First-principles (PBE-GGA) data for a relaxed structure of TcPdS2N, as listed in Alexandria.

a = 4.8904 Å, b = 4.8904 Å, c = 3.6892 Å
α = 90.00°, β = 90.00°, γ = 90.00°
Space group P4/mmm (No. 123)
Inequivalent atoms, fractional coordinates:
Tc (0.0000, 0.0000, 0.0000) x1
Pd (0.5000, 0.5000, 0.5000) x1
S (0.0000, 0.5000, 0.5000) x2
N (0.5000, 0.5000, 0.0000) x1

Results
- Polymorph energy (0 for the lowest one): 756 meV per atom
- Magnetic moment: 3.9 Bohr magnetons per cell
- Formation energy from raw total energies: 1.236 eV/atom

First-principles (PBE-GGA) data for a relaxed structure of MnBeBr, as listed in Alexandria.

a = 5.8469 Å, b = 5.8469 Å, c = 5.8469 Å
α = 90.00°, β = 90.00°, γ = 90.00°
Space group F-43m (No. 216)
Inequivalent atoms, fractional coordinates:
Mn (0.0000, 0.0000, 0.0000) x4
Be (0.2500, 0.2500, 0.7500) x4
Br (0.2500, 0.2500, 0.2500) x4

Results
- Polymorph energy (0 for the lowest one): 398 meV per atom
- Magnetic moment: 11.1 Bohr magnetons per cell
- Formation energy from raw total energies: 0.830 eV/atom

First-principles (PBE-GGA) data for a relaxed structure of RbAc2AuSe4, as listed in Alexandria.

a = 4.4838 Å, b = 15.2751 Å, c = 15.4385 Å
α = 90.00°, β = 90.00°, γ = 90.00°
Space group Cmcm (No. 63)
Inequivalent atoms, fractional coordinates:
Rb (0.0000, 0.1163, 0.2500) x4
Ac (0.0000, 0.3668, 0.0652) x8
Au (0.0000, 0.1527, 0.7500) x4
Se (0.0000, 0.0000, 0.0000) x4
Se (0.0000, 0.2645, 0.6114) x8
Se (0.0000, 0.4422, 0.2500) x4

Results
- Magnetic moment: 0.0 Bohr magnetons per cell
- Formation energy from raw total energies: -1.543 eV/atom

First-principles (PBE-GGA) data for a relaxed structure of Sm6CuIr2Br3, as listed in Alexandria.

a = 7.1401 Å, b = 12.3633 Å, c = 8.0759 Å
α = 90.00°, β = 107.15°, γ = 90.00°
Space group C2/m (No. 12)
Inequivalent atoms, fractional coordinates:
Sm (0.2231, 0.0000, 0.1964) x4
Sm (0.2369, 0.3288, 0.1965) x8
Cu (0.0000, 0.5000, 0.0000) x2
Ir (0.0000, 0.1667, 0.0000) x4
Br (0.0000, 0.0000, 0.5000) x2
Br (0.0000, 0.3330, 0.5000) x4

Results
- Magnetic moment: 0.0 Bohr magnetons per cell
- Formation energy from raw total energies: -0.970 eV/atom

What is the formation energy from raw total energies in the fourth record? -0.970 eV/atom

What is the formula in the third record? RbAc2AuSe4

Look up the formation energy from raw total energies of the fourth one. -0.970 eV/atom

Look up the magnetic moment of the first one. 3.9 Bohr magnetons per cell